(1)
A relaxed structure of TlPCl. Source: Alexandria via LeMat-Bulk, functional PBE.

The crystal system is orthorhombic. The calculation puts the final energy at -19.0 eV per cell. The uncorrected formation energy is 0.036 eV per atom. The spin magnetization comes out at 0.0000 μB per atom.

It has space group Imm2 (No. 44), with a = 3.4731 Å, b = 5.0934 Å, c = 10.5015 Å, α = 90.00°, β = 90.00° and γ = 90.00°. The distinct sites, in fractional coordinates, are Tl at (0.0000, 0.0000, 0.0000), P at (0.0000, 0.0000, 0.4741) and Cl at (0.0000, 0.0000, 0.6756).

(2)
A relaxed structure of TlP2Cl. Source: Alexandria via LeMat-Bulk, functional PBE.

The crystal system is tetragonal. The calculation puts the final energy at -58.0 eV per cell. The uncorrected formation energy is 0.131 eV per atom. The spin magnetization comes out at 0.0000 μB per atom.

It has space group I-42d (No. 122), with a = 3.9863 Å, b = 3.9863 Å, c = 31.3429 Å, α = 90.00°, β = 90.00° and γ = 90.00°. The distinct sites, in fractional coordinates, are Tl at (0.0000, 0.0000, 0.0000), P at (0.1437, 0.2500, 0.6250) and Cl at (0.0000, 0.0000, 0.5000).

(3)
A relaxed structure of TlVPCl2. Source: Alexandria via LeMat-Bulk, functional PBE.

The crystal system is tetragonal. The calculation puts the final energy at -23.0 eV per cell. The uncorrected formation energy is -0.475 eV per atom. The spin magnetization comes out at 0.2000 μB per atom.

It has space group P4/mmm (No. 123), with a = 4.9977 Å, b = 4.9977 Å, c = 4.6993 Å, α = 90.00°, β = 90.00° and γ = 90.00°. The distinct sites, in fractional coordinates, are Tl at (0.0000, 0.0000, 0.0000), V at (0.5000, 0.5000, 0.5000), P at (0.5000, 0.5000, 0.0000) and Cl at (0.0000, 0.5000, 0.5000).

(4)
A relaxed structure of TlVPCl2. Source: Alexandria via LeMat-Bulk, functional PBE.

The crystal system is tetragonal. The calculation puts the final energy at -17.3 eV per cell. The uncorrected formation energy is 0.661 eV per atom. The spin magnetization comes out at 0.5247 μB per atom.

It has space group P4/mmm (No. 123), with a = 5.2873 Å, b = 5.2873 Å, c = 5.2722 Å, α = 90.00°, β = 90.00° and γ = 90.00°. The distinct sites, in fractional coordinates, are Tl at (0.0000, 0.0000, 0.0000), V at (0.5000, 0.5000, 0.5000), P at (0.0000, 0.0000, 0.5000) and Cl at (0.0000, 0.5000, 0.0000).

(5)
A relaxed structure of YTlP2Cl. Source: Alexandria via LeMat-Bulk, functional PBE.

The crystal system is tetragonal. The calculation puts the final energy at -20.4 eV per cell. The uncorrected formation energy is 0.211 eV per atom. The spin magnetization comes out at 0.0000 μB per atom.

It has space group P4/mmm (No. 123), with a = 5.0539 Å, b = 5.0539 Å, c = 5.1988 Å, α = 90.00°, β = 90.00° and γ = 90.00°. The distinct sites, in fractional coordinates, are Y at (0.0000, 0.0000, 0.0000), Tl at (0.5000, 0.5000, 0.5000), P at (0.0000, 0.5000, 0.5000) and Cl at (0.5000, 0.5000, 0.0000).

(6)
A relaxed structure of YTlPCl2. Source: Alexandria via LeMat-Bulk, functional PBE.

The crystal system is tetragonal. The calculation puts the final energy at -18.8 eV per cell. The uncorrected formation energy is -0.164 eV per atom. The spin magnetization comes out at 0.0002 μB per atom.

It has space group P4/mmm (No. 123), with a = 5.2341 Å, b = 5.2341 Å, c = 5.2413 Å, α = 90.00°, β = 90.00° and γ = 90.00°. The distinct sites, in fractional coordinates, are Y at (0.0000, 0.0000, 0.0000), Tl at (0.5000, 0.5000, 0.5000), P at (0.5000, 0.5000, 0.0000) and Cl at (0.0000, 0.5000, 0.5000).

ΔE to the lowest computed polymorph across the listed records, respectively: 5.70, 36.06, 0.00, 109.55, 45.90, 84.58 kJ/mol of atoms.
Ρ across the listed records, respectively: 4.8, 4.0, 5.1, 4.0, 4.9, 4.6 Mg/m³.
Fermi-level density of states across the listed records, respectively: 2.09, 6.49, 0.80, 4.09, 3.15, 1.57 states/eV per cell.